Density functional theory data (PBE) for a geometry-optimized CsV2Cu structure.

extended XYZ file:
```
8
Lattice="-0.0814 3.2391 -2.6450 -4.0465 0.6065 0.8674 0.5103 8.2066 6.7271" Properties=species:S:1:pos:R:3 pbc="T T T"
Cu -2.8001 5.3680 3.3528
Cu -2.0640 1.9228 -0.8888
V -2.4236 3.3079 1.5076
V -2.6392 9.4315 3.3634
V -0.4173 3.6796 0.5227
V -1.7553 7.6855 4.5052
Cs 0.0000 0.0000 0.0000
Cs -0.8175 6.6843 1.5966
```

Properties
The formation enthalpy at 0 K comes out at 6.02 eV/f.u. Its energy above the lowest structure with this stoichiometry is 0.0 meV/atom. The calculation puts the total energy at -0.1577 Ha/atom. As for the space group: I-42d (122).

Density functional theory data (PBE) for a geometry-optimized Cs3S2Br structure.

extended XYZ file:
```
12
Lattice="9.0668 0.0002 0.0000 -4.5335 7.8520 0.0000 0.0000 0.0000 7.5801" Properties=species:S:1:pos:R:3 pbc="T T T"
Br 0.0000 0.0000 0.0000
Br 0.0000 0.0000 3.7900
Cs 6.5484 1.4541 5.6851
Cs 4.5333 4.9442 5.6851
Cs 2.5183 1.4540 5.6851
Cs -0.0001 2.9079 1.8950
Cs 2.0149 6.3981 1.8950
Cs -2.0152 6.3981 1.8950
S 4.5333 2.6174 2.9621
S -0.0001 5.2347 6.7521
S 4.5333 2.6174 0.8280
S -0.0001 5.2347 4.6180
```

Properties
The formation energy without anion corrections is -1.037 eV per atom. The calculation puts the total energy at -0.1146 Ha/atom. As for the space group: P6_3/mmc (194).

Density functional theory data (PBE) for a geometry-optimized Mg4Co structure.

extended XYZ file:
```
5
Lattice="-0.1352 4.4075 1.9660 -2.5390 1.6076 -3.7786 -4.1042 -1.1397 2.2729" Properties=species:S:1:pos:R:3 pbc="T T T"
Mg -2.1197 1.6339 2.1194
Mg -1.3371 3.0075 -0.9063
Mg -3.3216 0.2339 -0.7529
Mg 0.0000 0.0000 0.0000
Co -3.3892 2.4377 0.2301
```

Properties
The formation enthalpy at 0 K comes out at 1.46 eV/f.u. The calculation puts the total energy at -0.0884 Ha/atom. As for the space group: Pm-3m (221).

Density functional theory data (PBE) for a geometry-optimized BeRu2Pt structure.

extended XYZ file:
```
4
Lattice="-2.1282 1.0542 3.5229 -4.0579 -1.1713 0.4610 -1.0386 -2.9936 2.8304" Properties=species:S:1:pos:R:3 pbc="T T T"
Pt -5.4186 -2.3330 5.1107
Ru 0.0000 0.0000 0.0000
Ru -1.8062 -0.7777 1.7036
Be -3.6124 -1.5553 3.4071
```

Properties
The formation enthalpy at 0 K comes out at 0.73 eV/f.u. The calculation puts the total energy at -0.2534 Ha/atom. As for the space group: F-43m (216).

Density functional theory data (PBE) for a geometry-optimized BeCdIr2 structure.

extended XYZ file:
```
4
Lattice="2.7747 0.0026 0.0000 -1.2601 2.4720 0.0000 0.0000 0.0000 8.4051" Properties=species:S:1:pos:R:3 pbc="T T T"
Be 0.7573 1.2373 2.1013
Cd 0.7573 1.2373 6.3038
Ir 0.0000 0.0000 0.3601
Ir 0.0000 0.0000 3.8425
```

Properties
The formation enthalpy at 0 K comes out at -0.02 eV/f.u. Its energy above the lowest structure with this stoichiometry is 82.9 meV/atom. The calculation puts the total energy at -0.2056 Ha/atom. As for the space group: Cmmm (65).

Density functional theory data (PBE) for a geometry-optimized Ca2In2Sb structure.

extended XYZ file:
```
10
Lattice="7.9127 0.0000 0.0000 0.0000 7.9127 0.0000 0.0000 0.0000 4.7542" Properties=species:S:1:pos:R:3 pbc="T T T"
Sb 0.0000 0.0000 0.0000
Sb 3.9564 3.9564 0.0000
Ca 1.3545 5.3109 2.3771
Ca 6.5582 2.6019 2.3771
Ca 2.6019 1.3545 2.3771
Ca 5.3109 6.5582 2.3771
In 4.9847 1.0283 0.0000
In 6.8844 4.9847 0.0000
In 2.9281 6.8844 0.0000
In 1.0283 2.9281 0.0000
```

Properties
The formation energy without anion corrections is -0.433 eV per atom. Its energy above the lowest structure with this stoichiometry is 0.0 meV/atom. The calculation puts the total energy at -0.1159 Ha/atom. As for the space group: P4/mbm (127).

Density functional theory data (PBE) for a geometry-optimized SrIrNO2 structure.

extended XYZ file:
```
5
Lattice="-2.2172 -1.3711 -3.2433 -2.6323 -1.9002 2.6029 -2.1037 3.0930 0.1306" Properties=species:S:1:pos:R:3 pbc="T T T"
Sr -3.4766 -0.0892 -0.2549
N -1.0519 1.5465 0.0653
O -1.3161 -0.9501 1.3014
O -1.1086 -0.6856 -1.6216
Ir 0.0000 0.0000 0.0000
```

Properties
The formation energy without anion corrections is -0.984 eV per atom. The calculation puts the total energy at -0.2477 Ha/atom. As for the space group: P4/mmm (123).

Density functional theory data (PBE) for a geometry-optimized HCl structure.

extended XYZ file:
```
16
Lattice="-7.1037 2.7795 0.2147 -0.0240 -0.6487 7.6035 2.7877 7.0773 0.6127" Properties=species:S:1:pos:R:3 pbc="T T T"
H -1.1906 2.2067 5.7618
H -4.8650 3.2596 6.1739
H 0.0927 5.7328 2.5711
H 0.5119 5.5958 6.3902
H -3.3366 7.4594 2.3737
H -3.1604 6.7054 6.1394
H -0.9904 2.1013 1.9239
H -4.4218 3.7713 2.3895
Cl 1.0605 6.2156 1.8678
Cl -1.4140 3.0000 2.7468
Cl -0.4512 5.2397 5.6092
Cl -3.8973 3.7424 5.4706
Cl -5.3849 3.4152 1.6085
Cl -0.7717 1.1813 6.4231
Cl -3.5840 7.6041 6.9622
Cl -2.9177 6.4341 3.0351
```

Properties
The calculation puts the total energy at -0.1136 Ha/atom. As for the space group: I-43m (217).

Density functional theory data (PBE) for a geometry-optimized Ti2CdIn structure.

extended XYZ file:
```
4
Lattice="-1.0372 3.8843 1.5282 -3.6734 -0.1869 -2.0180 -1.7561 -1.7918 3.3626" Properties=species:S:1:pos:R:3 pbc="T T T"
Cd -0.5186 1.9421 0.7641
In -3.2333 0.9528 1.4364
Ti -1.8367 -0.0935 -1.0090
Ti -0.8780 -0.8959 1.6813
```

Properties
The formation enthalpy at 0 K comes out at -0.26 eV/f.u. The calculation puts the total energy at -0.1810 Ha/atom. As for the space group: P4/mmm (123).

Density functional theory data (PBE) for a geometry-optimized HoErTh structure.

extended XYZ file:
```
6
Lattice="-1.2238 0.9242 3.2181 -0.6245 -3.2713 -1.2716 15.5811 -5.0709 5.4144" Properties=species:S:1:pos:R:3 pbc="T T T"
Th 6.0701 -2.3131 2.9746
Th 7.6627 -5.1049 4.3863
Er 13.3729 -5.0944 6.5552
Er 0.3598 -2.3236 0.8057
Ho 11.1408 -5.5661 3.8671
Ho 2.5919 -1.8520 3.4938
```

Properties
The formation enthalpy at 0 K comes out at 0.05 eV/f.u. Its energy above the lowest structure with this stoichiometry is 0.0 meV/atom. The calculation puts the total energy at -0.2022 Ha/atom. As for the space group: R-3m (166).

Density functional theory data (PBE) for a geometry-optimized RbPa2CrN5 structure.

extended XYZ file:
```
18
Lattice="-5.1572 -4.3702 0.1712 3.5132 -4.2972 -3.8622 2.9737 1.9740 6.4282" Properties=species:S:1:pos:R:3 pbc="T T T"
Pa 0.1261 -2.1623 -1.1726
Pa -1.7701 -6.5051 -2.5184
Pa -2.8878 -3.8150 -0.6085
Pa 1.2438 -4.8524 -3.0825
Rb 0.2538 -5.5135 0.4459
Rb 1.0758 -1.1798 2.2914
N -0.8220 -4.3337 -1.8455
N 2.1019 -3.9312 -1.2212
N 0.0000 0.0000 0.0000
N -2.6144 -5.9769 -0.0601
N -0.7722 -2.7621 3.9584
N -0.8502 -2.7957 0.7496
N 2.1799 -3.8977 1.9877
N 0.9921 0.4191 4.7681
N 3.9441 -0.7165 2.7973
N 0.3376 -7.1125 -2.0309
Cr 2.8325 -3.3284 0.3603
Cr -1.5028 -3.3649 2.3770
```

Properties
The formation energy without anion corrections is -0.939 eV per atom. The calculation puts the total energy at -0.3253 Ha/atom. As for the space group: I4/mcm (140).

Density functional theory data (PBE) for a geometry-optimized UCuGe2 structure.

extended XYZ file:
```
8
Lattice="3.9755 0.0000 -0.8080 -0.1642 3.9721 -0.8080 -0.1827 -0.1905 9.2846" Properties=species:S:1:pos:R:3 pbc="T T T"
Ge -0.0821 1.9860 -0.4040
Ge 1.9877 0.0000 -0.4040
Ge 1.1653 1.2145 5.7332
Ge 2.4632 2.5672 1.9354
Cu 2.8492 0.8978 3.8343
Cu 0.7793 2.8838 3.8343
U 3.2171 3.3529 5.6445
U 0.4114 0.4287 2.0240
```

Properties
The formation enthalpy at 0 K comes out at -0.84 eV/f.u. The calculation puts the total energy at -0.2339 Ha/atom. As for the space group: I4/mmm (139).

Density functional theory data (PBE) for a geometry-optimized DyMn6Ge6 structure.

extended XYZ file:
```
13
Lattice="5.1708 0.0000 0.0000 2.5854 6.0436 0.2113 2.5854 0.3559 6.0368" Properties=species:S:1:pos:R:3 pbc="T T T"
Mn 1.2927 0.1780 3.0184
Mn 5.1708 1.7892 4.5689
Mn 5.1708 4.6104 1.6793
Mn 1.2927 3.0218 0.1057
Mn 3.8781 0.1780 3.0184
Mn 3.8781 3.0218 0.1057
Ge 2.5854 2.3182 4.0270
Ge 2.5854 4.0814 2.2211
Ge 2.5854 1.0758 1.0504
Ge 5.1708 2.1502 2.0993
Ge 5.1708 4.2494 4.1488
Ge 7.7562 5.3238 5.1978
Dy 0.0000 0.0000 0.0000
```

Properties
The formation enthalpy at 0 K comes out at -4.06 eV/f.u. The calculation puts the total energy at -0.2583 Ha/atom. As for the space group: Immm (71).

Density functional theory data (PBE) for a geometry-optimized LuBiPt4 structure.

extended XYZ file:
```
6
Lattice="-3.4223 -0.1163 -4.2233 -4.4994 -3.0437 0.2301 -4.8742 2.3782 0.3844" Properties=species:S:1:pos:R:3 pbc="T T T"
Pt -5.5573 -1.6824 -2.4500
Pt -8.0032 -0.4890 -2.2571
Pt -6.2859 -0.4306 -0.1379
Pt -5.7454 1.0383 -2.3725
Bi -3.1990 -0.1955 -0.9022
Lu 0.0000 0.0000 0.0000
```

Properties
The formation enthalpy at 0 K comes out at -3.90 eV/f.u. The calculation puts the total energy at -0.2234 Ha/atom. As for the space group: F-43m (216).

Density functional theory data (PBE) for a geometry-optimized BeGeSbW structure.

extended XYZ file:
```
8
Lattice="-3.5271 0.3883 -0.7470 0.7700 -1.4936 -4.4120 -1.3643 -7.7819 2.3964" Properties=species:S:1:pos:R:3 pbc="T T T"
Sb -3.0995 -7.4262 1.9731
Sb -0.9510 -8.3672 0.1406
Be -1.0402 -5.9335 1.8272
Be -2.4188 -6.4861 -0.7523
W -2.5499 -4.2911 1.0077
W -0.4013 -5.2320 -0.8248
Ge -1.8410 -3.1905 -1.7672
Ge -0.4625 -2.6379 0.8123
```

Properties
The formation energy without anion corrections is 0.435 eV per atom. Its energy above the lowest structure with this stoichiometry is 213.0 meV/atom. The calculation puts the total energy at -0.2175 Ha/atom. As for the space group: Cmm2 (35).

Density functional theory data (PBE) for a geometry-optimized Pr3Si2AsRh9 structure.

extended XYZ file:
```
15
Lattice="-2.9810 -4.7394 -3.5034 6.5700 -0.0291 0.6745 -0.6576 -4.1873 6.2241" Properties=species:S:1:pos:R:3 pbc="T T T"
Rh -1.4905 -2.3697 -1.7517
Rh 1.3249 -6.6224 1.6059
Rh -1.6815 -6.6091 1.2972
Rh 4.6130 -2.3466 2.0981
Rh -0.3174 -4.4405 2.9003
Rh 3.2489 -4.5152 0.4950
Rh 1.6066 -2.3333 1.7894
Rh 1.7945 -2.3842 -1.4144
Rh 3.2850 -0.0145 0.3373
Si 3.2832 -2.2563 0.2587
Si -0.3517 -6.6994 3.1366
Pr 0.0000 0.0000 0.0000
Pr -0.0113 -4.5317 -0.0855
Pr 2.9428 -4.4240 3.4808
As -0.3288 -2.0936 3.1120
```

Properties
The formation energy without anion corrections is -0.559 eV per atom. The calculation puts the total energy at -0.2557 Ha/atom. As for the space group: P-3m1 (164).

Density functional theory data (PBE) for a geometry-optimized NpInGaBr6 structure.

extended XYZ file:
```
18
Lattice="7.2608 0.0000 0.0000 0.0000 7.2608 0.0000 0.0000 0.0000 13.4934" Properties=species:S:1:pos:R:3 pbc="T T T"
In 3.6304 3.6304 6.7236
In 0.0000 0.0000 13.4703
Np 3.6304 3.6304 11.2492
Np 0.0000 0.0000 4.5025
Br 4.9465 4.9465 13.3522
Br 1.9584 1.9584 4.4405
Br 2.2548 2.2548 9.2417
Br 2.3143 2.3143 13.3522
Br 5.9447 1.3161 6.6055
Br 5.0060 5.0060 9.2417
Br 1.6720 5.5888 11.1872
Br 5.3024 5.3024 4.4405
Br 5.8852 1.3756 2.4950
Br 5.5888 1.6720 11.1872
Br 1.3756 5.8852 2.4950
Br 1.3161 5.9447 6.6055
Ga 0.0000 0.0000 8.9188
Ga 3.6304 3.6304 2.1721
```

Properties
The formation energy without anion corrections is -0.970 eV per atom. The calculation puts the total energy at -0.1530 Ha/atom. As for the space group: P4_2nm (102).

Density functional theory data (PBE) for a geometry-optimized ZrP2CS structure.

extended XYZ file:
```
5
Lattice="4.0107 0.0000 0.0000 0.0000 4.0107 0.0000 0.0000 0.0000 4.4530" Properties=species:S:1:pos:R:3 pbc="T T T"
C 0.0000 0.0000 0.0000
P 2.0053 0.0000 0.0000
P 0.0000 2.0053 0.0000
Zr 2.0053 2.0053 2.2265
S 0.0000 0.0000 2.2265
```

Properties
The formation energy without anion corrections is 0.477 eV per atom. Its energy above the lowest structure with this stoichiometry is 0.0 meV/atom. The calculation puts the total energy at -0.2229 Ha/atom. As for the space group: P4/mmm (123).

Density functional theory data (PBE) for a geometry-optimized Tc2MoRh structure.

extended XYZ file:
```
4
Lattice="3.2444 0.0000 0.0000 0.0000 3.2444 0.0000 0.0000 0.0000 5.6954" Properties=species:S:1:pos:R:3 pbc="T T T"
Mo 1.6222 1.6222 1.4238
Tc 0.0000 0.0000 2.8293
Tc 0.0000 0.0000 0.0184
Rh 1.6222 1.6222 4.2715
```

Properties
The formation enthalpy at 0 K comes out at 0.74 eV/f.u. Its energy above the lowest structure with this stoichiometry is 251.8 meV/atom. The calculation puts the total energy at -0.3507 Ha/atom. As for the space group: P4/mmm (123).

Density functional theory data (PBE) for a geometry-optimized ZrAl2Mo structure.

extended XYZ file:
```
4
Lattice="-2.6407 0.0794 -1.0603 0.4872 -2.4327 -1.3958 -2.8603 -4.4683 6.7892" Properties=species:S:1:pos:R:3 pbc="T T T"
Al -1.7971 -2.3020 0.4818
Al -0.0474 -0.0740 0.1124
Mo -1.3580 -2.1215 3.2234
Zr -3.2414 -4.5582 3.9101
```

Properties
The formation enthalpy at 0 K comes out at -0.02 eV/f.u. Its energy above the lowest structure with this stoichiometry is 264.1 meV/atom. The calculation puts the total energy at -0.2470 Ha/atom. As for the space group: P4mm (99).

Density functional theory data (PBE) for a geometry-optimized Tb7NdTl5 structure.

extended XYZ file:
```
13
Lattice="6.5594 0.0000 0.0000 3.2797 7.6999 0.0621 3.2797 0.0372 7.7000" Properties=species:S:1:pos:R:3 pbc="T T T"
Tl 1.6417 0.0423 3.7347
Tl 9.8391 5.9018 5.9209
Tl 1.6417 3.7345 0.0543
Tl 4.9178 0.0423 3.7347
Tl 4.9178 3.7345 0.0543
Tb 6.5594 6.1135 1.4478
Tb 3.2797 1.7706 1.7763
Tb 6.5594 2.7862 2.7952
Tb 9.8391 5.1169 2.6882
Tb 6.5594 1.4281 6.1182
Tb 6.5594 5.2302 5.2471
Tb 9.8391 2.6717 5.1255
Nd 6.5594 0.1128 0.1132
```

Properties
The formation enthalpy at 0 K comes out at -2.17 eV/f.u. The calculation puts the total energy at -0.1447 Ha/atom. As for the space group: Imm2 (44).

Density functional theory data (PBE) for a geometry-optimized TbCdAgGe structure.

extended XYZ file:
```
4
Lattice="4.9502 0.0000 0.0000 2.4751 4.2870 0.0000 2.4751 1.4290 4.0419" Properties=species:S:1:pos:R:3 pbc="T T T"
Ge 2.4751 1.4290 1.0105
Tb 0.0000 0.0000 0.0000
Cd 4.9502 2.8580 2.0209
Ag 7.4254 4.2870 3.0314
```

Properties
The formation enthalpy at 0 K comes out at -1.24 eV/f.u. The calculation puts the total energy at -0.1310 Ha/atom. As for the space group: F-43m (216).

Density functional theory data (PBE) for a geometry-optimized ZrNpTaOs structure.

extended XYZ file:
```
4
Lattice="4.7227 0.0000 0.0000 2.3613 4.0899 0.0000 2.3613 1.3633 3.8560" Properties=species:S:1:pos:R:3 pbc="T T T"
Np 2.3613 1.3633 0.9640
Ta 0.0000 0.0000 0.0000
Zr 4.7227 2.7266 1.9280
Os 7.0840 4.0899 2.8920
```

Properties
The formation enthalpy at 0 K comes out at 0.84 eV/f.u. The calculation puts the total energy at -0.4018 Ha/atom. As for the space group: F-43m (216).

Density functional theory data (PBE) for a geometry-optimized InBi2I6 structure.

extended XYZ file:
```
18
Lattice="-7.2467 6.3004 -7.8181 -4.8177 -5.7945 -7.3854 -9.8845 1.6439 3.3054" Properties=species:S:1:pos:R:3 pbc="T T T"
I -12.5392 4.3795 -9.3038
I -13.7326 0.6354 -11.8382
I -13.6605 -2.5248 -3.8228
I -9.0900 1.4850 -5.0273
I -12.8207 1.4657 -2.2082
I -12.8589 0.6648 -6.8708
I -8.2163 1.5144 -0.0598
I -8.2884 4.6746 -8.0752
I -9.1282 0.6841 -9.6899
I -9.4098 -2.2296 -2.5943
I -16.7876 -0.1032 -8.7790
I -5.1613 2.2530 -3.1191
Bi -10.3395 2.5263 -7.8201
Bi -11.6094 -0.3765 -4.0780
Bi -7.3608 0.3225 -2.5508
Bi -14.5881 1.8273 -9.3473
In -10.5987 -0.5614 -12.5191
In -11.3502 2.7112 0.6210
```

Properties
The formation energy without anion corrections is -0.326 eV per atom. The calculation puts the total energy at -0.0928 Ha/atom. As for the space group: C2/c (15).